# LiBeSiSe2, optimized geometry, DFT PBE
# total magnetization: 0.00 μB per atom
# formation energy without anion corrections: 0.668 eV per atom
data_LiBeSiSe2
_symmetry_space_group_name_H-M 'P 4/m m m'
_symmetry_Int_Tables_number 123
_symmetry_space_group_name_Hall '-P 4 2'
_cell_length_a 4.754
_cell_length_b 4.754
_cell_length_c 4.028
_cell_angle_alpha 90.00
_cell_angle_beta 90.00
_cell_angle_gamma 90.00
loop_
_atom_site_label
_atom_site_type_symbol
_atom_site_fract_x
_atom_site_fract_y
_atom_site_fract_z
_atom_site_occupancy
Li1 Li 0.000 0.000 0.000 1
Be1 Be 0.000 0.000 0.500 1
Si1 Si 0.500 0.500 0.500 1
Se1 Se 0.000 0.500 0.000 1